The following is a DFT calculation (PBE) of a geometry-optimized Tb2Nd3YEr6 structure.

Calculated values
Its density of states at the Fermi level is 15.4 states/eV/f.u. The formation energy is 20 meV per atom. The space-group type is C2/m (12).

```
Tb2Nd3YEr6
1.0
3.0932 -5.3545 0.0000
3.0932 5.3545 0.0000
-2.0552 0.0000 11.5780
Tb Nd Y Er
2 3 1 6
Cartesian
3.0932 3.5698 0.0000
3.0932 -3.5698 0.0000
-1.0276 0.0000 5.7890
2.0656 1.7833 5.7890
2.0656 -1.7833 5.7890
3.0932 0.0000 0.0000
0.0041 1.7881 8.7156
1.0280 0.0000 2.8615
0.0041 -1.7881 8.7156
4.1272 1.7881 2.8624
3.1032 0.0000 8.7165
4.1272 -1.7881 2.8624
```